[1]
Here is crystalline Pm2ZnRu at its relaxed geometry from Alexandria via LeMat-Bulk. Energies are from PBE.

Geometry as POSCAR:
```
Pm2ZnRu
1.0
3.547 0.000 0.000
0.000 3.547 0.000
0.000 0.000 7.320
Zn Pm Ru
1 2 1
direct
0.500 0.500 0.500 Zn
0.000 0.000 0.766 Pm
0.000 0.000 0.234 Pm
0.500 0.500 0.000 Ru
```

## Properties
Space-group type: P4/mmm (123)
Energy relative to the lowest polymorph listed for this composition: 0.18 eV/f.u.

[2]
Here is crystalline La8Os3RhI4 at its relaxed geometry from Alexandria via LeMat-Bulk. Energies are from PBE.

Geometry as POSCAR:
```
La8Os3RhI4
1.0
-6.311 -3.218 4.700
6.151 -1.612 7.156
-0.475 8.000 -2.850
Rh La I Os
1 8 4 3
direct
0.000 0.500 0.000 Rh
0.769 0.316 0.538 La
0.231 0.684 0.953 La
0.271 0.314 0.543 La
0.729 0.686 0.457 La
0.279 0.316 0.047 La
0.231 0.684 0.462 La
0.769 0.316 0.047 La
0.721 0.684 0.953 La
0.000 0.000 0.000 I
0.500 0.000 0.500 I
0.000 0.000 0.500 I
0.500 0.000 0.000 I
0.500 0.500 0.000 Os
0.500 0.500 0.500 Os
0.000 0.500 0.500 Os
```

## Properties
Space-group type: R-3m (166)
Formation energy (no corrections): -0.782 eV per atom

[3]
Here is crystalline MnTlPtSe at its relaxed geometry from Alexandria via LeMat-Bulk. Energies are from PBE.

Geometry as POSCAR:
```
MnTlPtSe
1.0
3.330 0.000 0.032
0.000 4.121 0.000
-0.069 0.000 6.529
Pt Mn Tl Se
1 1 1 1
direct
0.586 0.000 0.010 Pt
0.086 0.500 0.967 Mn
0.085 0.000 0.618 Tl
0.587 0.500 0.251 Se
```

## Properties
Space-group type: Pmm2 (25)
Energy relative to the lowest polymorph listed for this composition: 0.43 eV/f.u.
Formation energy (no corrections): -0.051 eV per atom

[4]
Here is crystalline NaIn8Ga2 at its relaxed geometry from Alexandria via LeMat-Bulk. Energies are from PBE.

Geometry as POSCAR:
```
NaIn8Ga2
1.0
-1.437 -5.014 4.751
5.318 -3.900 -2.507
3.972 2.767 4.121
In Na Ga
8 1 2
direct
0.221 0.221 0.256 In
0.779 0.779 0.744 In
0.221 0.779 0.256 In
0.779 0.221 0.256 In
0.779 0.221 0.744 In
0.221 0.779 0.744 In
0.779 0.779 0.256 In
0.221 0.221 0.744 In
0.500 0.500 0.500 Na
0.000 0.500 0.000 Ga
0.500 0.000 0.000 Ga
```

## Properties
Space-group type: P4/mmm (123)

Values of DFT total energy, in order: -21.1 -99.2 -21.3 -28.2, all in eV/cell.